# NbGa2FeF (PBE+U, relaxed)
data_NbGa2FeF
_symmetry_space_group_name_H-M 'P 4/m m m'
_symmetry_Int_Tables_number 123
_symmetry_space_group_name_Hall '-P 4 2'
_cell_length_a 4.506
_cell_length_b 4.506
_cell_length_c 4.450
_cell_angle_alpha 90.00
_cell_angle_beta 90.00
_cell_angle_gamma 90.00
loop_
_atom_site_label
_atom_site_fract_x
_atom_site_fract_y
_atom_site_fract_z
_atom_site_occupancy
Nb1 0.000 0.000 0.000 1
Ga1 0.000 0.500 0.500 1
Fe1 0.000 0.000 0.500 1
F1 0.500 0.500 0.000 1
# - E: -4.20 eV per atom